1.
{
  "formula": "Al4Co5Si",
  "functional": "PBE",
  "state": "optimized geometry",
  "cell": [[2.831, 0.000, 0.000], [0.000, 2.831, 0.000], [0.000, 0.000, 14.273]],
  "species": ["Al", "Al", "Al", "Al", "Co", "Co", "Co", "Co", "Co", "Si"],
  "frac_coords": [[0.000, 0.000, 0.198], [0.000, 0.000, 0.399], [0.000, 0.000, 0.601], [0.000, 0.000, 0.802], [0.500, 0.500, 0.092], [0.500, 0.500, 0.298], [0.500, 0.500, 0.500], [0.500, 0.500, 0.702], [0.500, 0.500, 0.908], [0.000, 0.000, 0.000]],
  "raw_formation_energy_mev_per_atom": -590,
  "sg": "No. 123"
}


2.
{
  "formula": "U3Cr5Te12",
  "functional": "PBE",
  "state": "optimized geometry",
  "cell": [[14.607, 0.000, 0.000], [-4.869, 13.772, 0.000], [-4.869, -6.886, 11.926]],
  "species": ["Cr", "Cr", "Cr", "Cr", "Cr", "Cr", "Cr", "Cr", "Cr", "Cr", "Cr", "Cr", "Cr", "Cr", "Cr", "Cr", "Cr", "Cr", "Cr", "Cr", "Te", "Te", "Te", "Te", "Te", "Te", "Te", "Te", "Te", "Te", "Te", "Te", "Te", "Te", "Te", "Te", "Te", "Te", "Te", "Te", "Te", "Te", "Te", "Te", "Te", "Te", "Te", "Te", "Te", "Te", "Te", "Te", "Te", "Te", "Te", "Te", "Te", "Te", "Te", "Te", "Te", "Te", "Te", "Te", "Te", "Te", "Te", "Te", "U", "U", "U", "U", "U", "U", "U", "U", "U", "U", "U", "U"],
  "frac_coords": [[0.125, 0.375, 0.250], [0.000, 0.500, 0.000], [0.000, 0.000, 0.000], [0.375, 0.250, 0.125], [0.500, 0.000, 0.500], [0.500, 0.500, 0.000], [0.125, 0.750, 0.375], [0.750, 0.125, 0.875], [0.750, 0.625, 0.375], [0.375, 0.125, 0.750], [0.625, 0.875, 0.250], [0.500, 0.500, 0.500], [0.500, 0.000, 0.000], [0.000, 0.000, 0.500], [0.250, 0.375, 0.625], [0.250, 0.875, 0.125], [0.000, 0.500, 0.500], [0.875, 0.250, 0.625], [0.625, 0.750, 0.875], [0.875, 0.625, 0.750], [0.712, 0.122, 0.037], [0.325, 0.537, 0.415], [0.963, 0.378, 0.288], [0.537, 0.212, 0.122], [0.590, 0.712, 0.675], [0.963, 0.585, 0.175], [0.325, 0.788, 0.410], [0.085, 0.910, 0.122], [0.585, 0.963, 0.675], [0.712, 0.590, 0.175], [0.788, 0.463, 0.378], [0.825, 0.915, 0.037], [0.122, 0.712, 0.537], [0.378, 0.415, 0.090], [0.090, 0.915, 0.378], [0.410, 0.122, 0.585], [0.090, 0.175, 0.212], [0.463, 0.675, 0.085], [0.825, 0.910, 0.288], [0.122, 0.410, 0.085], [0.378, 0.963, 0.788], [0.585, 0.622, 0.410], [0.915, 0.825, 0.537], [0.788, 0.325, 0.910], [0.415, 0.378, 0.590], [0.085, 0.175, 0.463], [0.212, 0.675, 0.090], [0.175, 0.090, 0.712], [0.622, 0.037, 0.212], [0.878, 0.590, 0.915], [0.537, 0.325, 0.915], [0.590, 0.878, 0.415], [0.910, 0.825, 0.788], [0.910, 0.085, 0.622], [0.878, 0.288, 0.463], [0.175, 0.085, 0.963], [0.622, 0.585, 0.910], [0.415, 0.037, 0.325], [0.288, 0.410, 0.825], [0.212, 0.537, 0.622], [0.915, 0.090, 0.878], [0.675, 0.212, 0.590], [0.463, 0.788, 0.878], [0.037, 0.415, 0.825], [0.410, 0.288, 0.325], [0.037, 0.622, 0.712], [0.675, 0.463, 0.585], [0.288, 0.878, 0.963], [0.750, 0.375, 0.125], [0.875, 0.750, 0.125], [0.375, 0.750, 0.625], [0.250, 0.125, 0.375], [0.875, 0.125, 0.250], [0.375, 0.625, 0.250], [0.625, 0.375, 0.750], [0.125, 0.875, 0.750], [0.750, 0.875, 0.625], [0.625, 0.250, 0.375], [0.125, 0.250, 0.875], [0.250, 0.625, 0.875]],
  "raw_formation_energy_mev_per_atom": -252,
  "sg": "No. 230"
}


3.
{
  "formula": "LiLaSb",
  "functional": "PBE",
  "state": "optimized geometry",
  "cell": [[3.539, 0.000, 0.000], [-1.769, 3.064, 0.000], [0.000, 0.000, 8.071]],
  "species": ["La", "Li", "Sb"],
  "frac_coords": [[0.000, 0.000, 0.974], [0.667, 0.333, 0.380], [0.333, 0.667, 0.646]],
  "raw_formation_energy_mev_per_atom": -205,
  "sg": "No. 156"
}


| no. | volume (Å³ per cell) | ρ (g/cm³) | total magnetization (μB/atom) |
| --- | --- | --- | --- |
| 1 | 114.4 | 6.2 | 0.147 |
| 2 | 2399.1 | 6.9 | 1.200 |
| 3 | 87.5 | 5.1 | 0.151 |